[1]
DFT (PBE-GGA) results for an optimized crystal structure of HoNpScO6.

Calculated values
Formation energy from raw total energies ... -3217 meV/atom
Total DFT energy (no corrections) ... -165.11 eV per cell
SG ... P-31c, No. 163

Cell lengths 5.513, 5.513, 9.542 Å; angles 90.00, 90.00, 120.00 degrees
Atoms (fractional coordinates):
1 Ho 0.000 0.000 0.000
2 Ho 0.000 0.000 0.500
3 Np 0.333 0.667 0.250
4 Np 0.667 0.333 0.750
5 Sc 0.333 0.667 0.750
6 Sc 0.667 0.333 0.250
7 O 0.007 0.351 0.136
8 O 0.007 0.656 0.364
9 O 0.344 0.351 0.364
10 O 0.344 0.993 0.136
11 O 0.351 0.007 0.636
12 O 0.351 0.344 0.864
13 O 0.649 0.656 0.136
14 O 0.649 0.993 0.364
15 O 0.656 0.007 0.864
16 O 0.656 0.649 0.636
17 O 0.993 0.344 0.636
18 O 0.993 0.649 0.864

***

[2]
DFT (PBE-GGA) results for an optimized crystal structure of Ta2Ti4Ru.

Calculated values
Energy above the most stable polymorph in this dataset ... 0.000 eV per atom
Total DFT energy (no corrections) ... -65.05 eV per cell
Formation enthalpy at 0 K ... -0.49 eV per formula unit
D(E_F) ... 9.12 states/eV per cell
SG ... P-1, No. 2

Cell lengths 2.901, 6.869, 6.945 Å; angles 61.26, 83.48, 78.15 degrees
Atoms (fractional coordinates):
1 Ta 0.072 0.432 0.221
2 Ta 0.928 0.568 0.779
3 Ti 0.242 0.865 0.904
4 Ti 0.386 0.726 0.352
5 Ti 0.614 0.274 0.648
6 Ti 0.758 0.135 0.096
7 Ru 0.500 0.000 0.500

***

[3]
DFT (PBE-GGA) results for an optimized crystal structure of Gd2LuAl.

Calculated values
Energy above the most stable polymorph in this dataset ... 0.032 eV per atom
Total DFT energy (no corrections) ... -37.08 eV per cell
Formation enthalpy at 0 K ... -0.65 eV per formula unit
D(E_F) ... 5.57 states/eV per cell
SG ... P4/mmm, No. 123

Cell lengths 3.516, 3.516, 9.015 Å; angles 90.00, 90.00, 90.00 degrees
Atoms (fractional coordinates):
1 Gd 0.000 0.000 0.218
2 Gd 0.000 0.000 0.782
3 Lu 0.500 0.500 0.500
4 Al 0.500 0.500 0.000

***

[4]
DFT (PBE-GGA) results for an optimized crystal structure of K4PuF10.

Calculated values
Formation energy from raw total energies ... -2832 meV/atom
Total DFT energy (no corrections) ... -79.92 eV per cell
D(E_F) ... 12.46 states/eV per cell
SG ... I4/m, No. 87

Cell lengths 7.429, 7.429, 7.429 Å; angles 99.33, 99.33, 132.51 degrees
Atoms (fractional coordinates):
1 K 0.098 0.696 0.794
2 K 0.304 0.098 0.402
3 K 0.696 0.902 0.598
4 K 0.902 0.304 0.206
5 Pu 0.500 0.500 0.000
6 F 0.131 0.381 0.929
7 F 0.202 0.131 0.750
8 F 0.250 0.750 0.500
9 F 0.381 0.452 0.250
10 F 0.452 0.202 0.071
11 F 0.548 0.798 0.929
12 F 0.619 0.548 0.750
13 F 0.750 0.250 0.500
14 F 0.798 0.869 0.250
15 F 0.869 0.619 0.071

***

[5]
DFT (PBE-GGA) results for an optimized crystal structure of SmNiGe2Ir.

Calculated values
Total DFT energy (no corrections) ... -32.02 eV per cell
Formation enthalpy at 0 K ... -3.43 eV per formula unit
D(E_F) ... 3.72 states/eV per cell
SG ... I-4m2, No. 119

Cell lengths 5.944, 5.944, 5.944 Å; angles 139.36, 139.36, 58.82 degrees
Atoms (fractional coordinates):
1 Sm 0.000 0.000 0.000
2 Ni 0.250 0.750 0.500
3 Ge 0.376 0.376 0.000
4 Ge 0.624 0.624 0.000
5 Ir 0.750 0.250 0.500

***

[6]
DFT (PBE-GGA) results for an optimized crystal structure of AcSmDy.

Calculated values
Energy above the most stable polymorph in this dataset ... 0.163 eV per atom
Total DFT energy (no corrections) ... -25.57 eV per cell
Formation enthalpy at 0 K ... 0.64 eV per formula unit
D(E_F) ... 9.04 states/eV per cell
SG ... P4/nmm, No. 129

Cell lengths 5.065, 5.065, 8.960 Å; angles 90.00, 90.00, 90.00 degrees
Atoms (fractional coordinates):
1 Ac 0.250 0.250 0.186
2 Ac 0.750 0.750 0.814
3 Sm 0.250 0.250 0.781
4 Sm 0.750 0.750 0.219
5 Dy 0.250 0.750 0.500
6 Dy 0.750 0.250 0.500

***

[7]
DFT (PBE-GGA) results for an optimized crystal structure of LaPm4Ho4.

Calculated values
Total DFT energy (no corrections) ... -84.11 eV per cell
Formation enthalpy at 0 K ... 0.19 eV per formula unit
D(E_F) ... 26.53 states/eV per cell
SG ... P-1, No. 2

Cell lengths 6.249, 9.547, 10.817 Å; angles 100.79, 106.78, 96.27 degrees
Atoms (fractional coordinates):
1 La 0.250 0.084 0.303
2 La 0.750 0.916 0.697
3 Pm 0.248 0.747 0.082
4 Pm 0.251 0.085 0.641
5 Pm 0.251 0.748 0.751
6 Pm 0.252 0.418 0.529
7 Pm 0.748 0.582 0.471
8 Pm 0.749 0.252 0.249
9 Pm 0.749 0.915 0.359
10 Pm 0.752 0.253 0.918
11 Ho 0.245 0.747 0.414
12 Ho 0.250 0.417 0.863
13 Ho 0.250 0.419 0.192
14 Ho 0.253 0.085 0.972
15 Ho 0.747 0.915 0.028
16 Ho 0.750 0.581 0.808
17 Ho 0.750 0.583 0.137
18 Ho 0.755 0.253 0.586

***

[8]
DFT (PBE-GGA) results for an optimized crystal structure of Zn5Hg4.

Calculated values
Energy above the most stable polymorph in this dataset ... 0.031 eV per atom
Total DFT energy (no corrections) ... -12.29 eV per cell
Formation enthalpy at 0 K ... 1.43 eV per formula unit
D(E_F) ... 7.78 states/eV per cell
SG ... P6_3/mcm, No. 193

Cell lengths 8.730, 8.730, 5.535 Å; angles 90.00, 90.00, 120.00 degrees
Atoms (fractional coordinates):
1 Zn 0.000 0.312 0.250
2 Zn 0.000 0.688 0.750
3 Zn 0.312 0.000 0.250
4 Zn 0.312 0.312 0.750
5 Zn 0.333 0.667 0.000
6 Zn 0.333 0.667 0.500
7 Zn 0.667 0.333 0.000
8 Zn 0.667 0.333 0.500
9 Zn 0.688 0.000 0.750
10 Zn 0.688 0.688 0.250
11 Hg 0.000 0.000 0.000
12 Hg 0.000 0.000 0.500
13 Hg 0.000 0.363 0.750
14 Hg 0.000 0.637 0.250
15 Hg 0.363 0.000 0.750
16 Hg 0.363 0.363 0.250
17 Hg 0.637 0.000 0.250
18 Hg 0.637 0.637 0.750

***

[9]
DFT (PBE-GGA) results for an optimized crystal structure of CsUS3.

Calculated values
Energy above the most stable polymorph in this dataset ... 0.057 eV per atom
Formation energy from raw total energies ... -1298 meV/atom
Total DFT energy (no corrections) ... -62.03 eV per cell
D(E_F) ... 9.90 states/eV per cell
SG ... P2_1/m, No. 11

Cell lengths 8.765, 4.094, 9.481 Å; angles 90.00, 100.61, 90.00 degrees
Atoms (fractional coordinates):
1 Cs 0.173 0.250 0.304
2 Cs 0.827 0.750 0.696
3 U 0.327 0.750 0.864
4 U 0.673 0.250 0.136
5 S 0.152 0.250 0.906
6 S 0.240 0.750 0.607
7 S 0.466 0.750 0.146
8 S 0.534 0.250 0.854
9 S 0.760 0.250 0.393
10 S 0.848 0.750 0.094

***

[10]
DFT (PBE-GGA) results for an optimized crystal structure of Ti8MnRh2.

Calculated values
Total DFT energy (no corrections) ... -90.24 eV per cell
Formation enthalpy at 0 K ... -3.21 eV per formula unit
D(E_F) ... 15.17 states/eV per cell
SG ... C2/m, No. 12

Cell lengths 7.399, 7.399, 5.851 Å; angles 106.73, 106.73, 35.25 degrees
Atoms (fractional coordinates):
1 Ti 0.019 0.019 0.259
2 Ti 0.186 0.186 0.771
3 Ti 0.341 0.341 0.557
4 Ti 0.408 0.408 0.064
5 Ti 0.592 0.592 0.936
6 Ti 0.659 0.659 0.443
7 Ti 0.814 0.814 0.229
8 Ti 0.981 0.981 0.741
9 Mn 0.500 0.500 0.500
10 Rh 0.190 0.190 0.192
11 Rh 0.810 0.810 0.808

***

[11]
DFT (PBE-GGA) results for an optimized crystal structure of YLuScZn.

Calculated values
Total DFT energy (no corrections) ... -18.57 eV per cell
Formation enthalpy at 0 K ... 0.02 eV per formula unit
D(E_F) ... 4.70 states/eV per cell
SG ... F-43m, No. 216

Cell lengths 5.183, 5.183, 5.183 Å; angles 60.00, 60.00, 60.00 degrees
Atoms (fractional coordinates):
1 Y 0.000 0.000 0.000
2 Lu 0.500 0.500 0.500
3 Sc 0.750 0.750 0.750
4 Zn 0.250 0.250 0.250